This record from Alexandria via LeMat-Bulk describes a relaxed Ag2PPd crystal. The functional is PBE.

## Properties
calculated volume = 141 Å³/cell
magnetic moment = 0.0 μB per cell
ΔH_f (0 K) = 187 meV per atom
calculated total energy = -31.1 eV/cell

abc: 7.4470 7.4470 5.8492
angles: 50.46 50.46 90.00
Closest atoms and distances in Å follow each position.
Sites, in units of the cell vectors:
P: 0.5000 0.5000 0.0000  4 Ag 2.50, 2 Pd 2.55
P: 0.2500 0.7500 0.5000  4 Ag 2.50, 2 Pd 2.55
Ag: 0.5827 0.1250 0.2500  2 P 2.50, 2 Ag 2.62
Ag: 0.1673 0.6250 0.2500  2 P 2.50, 2 Ag 2.62
Ag: 0.8750 0.8327 0.7500  2 P 2.50, 2 Ag 2.62
Ag: 0.3750 0.4173 0.7500  2 P 2.50, 2 Ag 2.62
Pd: 0.0000 0.0000 0.0000  2 P 2.55
Pd: 0.7500 0.2500 0.5000  2 P 2.55

This record from Alexandria via LeMat-Bulk describes a relaxed AgP2Pd2 crystal. The functional is PBE.

## Properties
relative energy among the computed polymorphs = 0.051 eV/atom
calculated volume = 81 Å³/cell
magnetic moment = 0.0 μB per cell
ΔH_f (0 K) = 27 meV per atom
calculated total energy = -23.9 eV/cell

abc: 3.5048 3.5048 7.0308
angles: 75.57 75.57 90.00
Closest atoms and distances in Å follow each position.
Sites, in units of the cell vectors:
Ag: 0.0000 0.0000 0.0000  8 Pd 2.88
P: 0.2500 0.7500 0.5000  4 P 2.48, 4 Pd 2.53
P: 0.7500 0.2500 0.5000  4 P 2.48, 4 Pd 2.53
Pd: 0.3887 0.3887 0.2225  4 P 2.53
Pd: 0.6113 0.6113 0.7775  4 P 2.53

This record from Alexandria via LeMat-Bulk describes a relaxed AgPPd4 crystal. The functional is PBE.

## Properties
calculated volume = 196 Å³/cell
magnetic moment = 0.0 μB per cell
ΔH_f (0 K) = -255 meV per atom
calculated total energy = -61.1 eV/cell

abc: 5.2552 5.7096 7.1821
angles: 102.01 111.35 90.24
Closest atoms and distances in Å follow each position.
Sites, in units of the cell vectors:
Pd: 0.4938 0.0631 0.8206  1 P 2.27
Pd: 0.9298 0.8827 0.6346  2 P 2.28-2.29
Pd: 0.3253 0.5630 0.8207  1 P 2.27
Pd: 0.5062 0.9369 0.1794  1 P 2.27
Pd: 0.2966 0.6162 0.3646  2 P 2.28-2.29
Pd: 0.7034 0.3838 0.6354  2 P 2.28-2.29
Pd: 0.6747 0.4370 0.1793  1 P 2.27
Pd: 0.0702 0.1173 0.3654  2 P 2.28-2.29
P: 0.5000 0.0000 0.5000  6 Pd 2.27-2.29
P: 0.0000 0.5000 0.5000  6 Pd 2.27-2.29
Ag: 0.0909 0.2498 0.9997  10 Pd 2.84-3.02, 2 Ag 3.01-3.02
Ag: 0.9091 0.7502 0.0003  10 Pd 2.84-3.02, 2 Ag 3.01-3.02

This record from Alexandria via LeMat-Bulk describes a relaxed Ag2P2Pd crystal. The functional is PBE.

## Properties
calculated volume = 178 Å³/cell
magnetic moment = 0.0 μB per cell
ΔH_f (0 K) = -79 meV per atom
calculated total energy = -44.2 eV/cell

abc: 6.0159 6.0159 4.9159
angles: 90.00 90.00 90.00
Closest atoms and distances in Å follow each position.
Sites, in units of the cell vectors:
Pd: 0.5000 0.5000 0.0000  4 P 2.36
Pd: 0.0000 0.0000 0.0000  4 P 2.36
P: 0.1303 0.3697 0.0000  1 P 2.22, 2 Pd 2.36
P: 0.8697 0.6303 0.0000  1 P 2.22, 2 Pd 2.36
P: 0.6303 0.1303 0.0000  1 P 2.22, 2 Pd 2.36
P: 0.3697 0.8697 0.0000  1 P 2.22, 2 Pd 2.36
Ag: 0.8133 0.6867 0.5000  2 P 2.50
Ag: 0.6867 0.1867 0.5000  2 P 2.50
Ag: 0.1867 0.3133 0.5000  2 P 2.50
Ag: 0.3133 0.8133 0.5000  2 P 2.50